## La5Sn2Ge (GGA-PBE)

Data for crystalline La5Sn2Ge at its relaxed geometry.

Summary:
* ΔH_f (0 K): -0.71 eV/atom
* magnetization: 2.07 μB/cell

a = 8.5268 Å, b = 12.9719 Å, c = 4.8092 Å
α = 90.00°, β = 90.00°, γ = 90.00°
Fractional coordinates of all 16 atoms:
La: 0.0000 0.0000 0.0000
La: 0.1493 0.2891 0.0000
La: 0.1979 0.5681 0.5000
La: 0.3021 0.0681 0.5000
La: 0.3507 0.7891 0.0000
La: 0.5000 0.5000 0.0000
La: 0.6493 0.2109 0.0000
La: 0.6979 0.9319 0.5000
La: 0.8021 0.4319 0.5000
La: 0.8507 0.7109 0.0000
Sn: 0.0762 0.8279 0.5000
Sn: 0.4238 0.3279 0.5000
Sn: 0.5762 0.6721 0.5000
Sn: 0.9238 0.1721 0.5000
Ge: 0.0000 0.5000 0.0000
Ge: 0.5000 0.0000 0.0000

---

## YTmRuPt (GGA-PBE)

Data for crystalline YTmRuPt at its relaxed geometry.

Summary:
* ΔE to the lowest computed polymorph: 0.20 eV/f.u.
* ΔH_f (0 K): -0.81 eV/atom
* magnetization: 0.00 μB/cell

a = 4.8428 Å, b = 4.8428 Å, c = 4.8428 Å
α = 60.00°, β = 60.00°, γ = 60.00°
Fractional coordinates of all 4 atoms:
Y: 0.0000 0.0000 0.0000
Tm: 0.5000 0.5000 0.5000
Ru: 0.2500 0.2500 0.2500
Pt: 0.7500 0.7500 0.7500

---

## Y5Ni2Sb (GGA-PBE)

Data for crystalline Y5Ni2Sb at its relaxed geometry.

Summary:
* formation energy without anion corrections: -0.5377 eV/atom
* magnetization: 0.00 μB/cell

a = 8.6273 Å, b = 8.6273 Å, c = 8.6273 Å
α = 127.22°, β = 127.22°, γ = 77.89°
Fractional coordinates of all 16 atoms:
Y: 0.0000 0.0000 0.0000
Y: 0.0198 0.5198 0.8146
Y: 0.2052 0.0198 0.5000
Y: 0.2948 0.7948 0.8146
Y: 0.4802 0.2948 0.5000
Y: 0.5000 0.5000 0.0000
Y: 0.5198 0.7052 0.5000
Y: 0.7052 0.2052 0.1854
Y: 0.7948 0.9802 0.5000
Y: 0.9802 0.4802 0.1854
Ni: 0.1301 0.3699 0.5000
Ni: 0.3699 0.8699 0.2398
Ni: 0.6301 0.1301 0.7602
Ni: 0.8699 0.6301 0.5000
Sb: 0.2500 0.2500 0.0000
Sb: 0.7500 0.7500 0.0000

---

## HoSnAu4 (GGA-PBE)

Data for crystalline HoSnAu4 at its relaxed geometry.

Summary:
* ΔE to the lowest computed polymorph: 0.00 eV/f.u.
* ΔH_f (0 K): -0.46 eV/atom
* magnetization: 0.00 μB/cell

a = 4.8079 Å, b = 4.8079 Å, c = 6.3177 Å
α = 90.00°, β = 90.00°, γ = 120.00°
Fractional coordinates of all 6 atoms:
Ho: 0.0000 0.0000 0.0000
Sn: 0.0000 0.0000 0.5000
Au: 0.3333 0.6667 0.2445
Au: 0.3333 0.6667 0.7555
Au: 0.6667 0.3333 0.2445
Au: 0.6667 0.3333 0.7555

---

## SrTaO3 (GGA-PBE)

Data for crystalline SrTaO3 at its relaxed geometry.

Summary:
* formation energy without anion corrections: -2.4597 eV/atom
* magnetization: 0.32 μB/cell

a = 3.1564 Å, b = 6.1949 Å, c = 6.1949 Å
α = 65.77°, β = 90.00°, γ = 90.00°
Fractional coordinates of all 5 atoms:
Sr: 0.0000 0.0000 0.0000
Ta: 0.5000 0.3516 0.3516
O: 0.0000 0.2149 0.5871
O: 0.0000 0.5871 0.2149
O: 0.5000 0.1743 0.1743

---

## PmDy2Y5 (GGA-PBE)

Data for crystalline PmDy2Y5 at its relaxed geometry.

Summary:
* ΔE to the lowest computed polymorph: 1.20 eV/f.u.
* ΔH_f (0 K): 0.17 eV/atom
* magnetization: 0.00 μB/cell

a = 5.7924 Å, b = 11.2220 Å, c = 8.5288 Å
α = 90.00°, β = 106.57°, γ = 90.00°
Fractional coordinates of all 16 atoms:
Pm: 0.0010 0.2500 0.1535
Pm: 0.9990 0.7500 0.8465
Dy: 0.3878 0.1164 0.9635
Dy: 0.3878 0.3836 0.9635
Dy: 0.6122 0.6164 0.0365
Dy: 0.6122 0.8836 0.0365
Y: 0.1659 0.5770 0.2095
Y: 0.1659 0.9230 0.2095
Y: 0.2677 0.2500 0.5812
Y: 0.3015 0.5782 0.6209
Y: 0.3015 0.9218 0.6209
Y: 0.6985 0.0782 0.3791
Y: 0.6985 0.4218 0.3791
Y: 0.7323 0.7500 0.4188
Y: 0.8341 0.0770 0.7905
Y: 0.8341 0.4230 0.7905

---

## Ac12Co2Pt5 (GGA-PBE)

Data for crystalline Ac12Co2Pt5 at its relaxed geometry.

Summary:
* ΔH_f (0 K): -0.59 eV/atom
* magnetization: 0.00 μB/cell

a = 8.9898 Å, b = 8.9898 Å, c = 10.4913 Å
α = 104.37°, β = 104.37°, γ = 56.06°
Fractional coordinates of all 19 atoms:
Ac: 0.0372 0.0372 0.3314
Ac: 0.0618 0.5768 0.3535
Ac: 0.1175 0.6170 0.9803
Ac: 0.3830 0.8825 0.0197
Ac: 0.4232 0.9382 0.6465
Ac: 0.4423 0.4423 0.6662
Ac: 0.5577 0.5577 0.3338
Ac: 0.5768 0.0618 0.3535
Ac: 0.6170 0.1175 0.9803
Ac: 0.8825 0.3830 0.0197
Ac: 0.9382 0.4232 0.6465
Ac: 0.9628 0.9628 0.6686
Co: 0.2525 0.7475 0.5000
Co: 0.7475 0.2525 0.5000
Pt: 0.2131 0.2131 0.8829
Pt: 0.2410 0.2410 0.4812
Pt: 0.5000 0.5000 0.0000
Pt: 0.7590 0.7590 0.5188
Pt: 0.7869 0.7869 0.1171

---

## AlRe2Rh (GGA-PBE)

Data for crystalline AlRe2Rh at its relaxed geometry.

Summary:
* ΔH_f (0 K): -0.04 eV/atom
* magnetization: 0.00 μB/cell

a = 2.7179 Å, b = 2.7179 Å, c = 7.8787 Å
α = 90.00°, β = 90.00°, γ = 90.00°
Fractional coordinates of all 4 atoms:
Al: 0.0000 0.0000 0.0000
Re: 0.5000 0.5000 0.2509
Re: 0.5000 0.5000 0.7491
Rh: 0.0000 0.0000 0.5000

---

## AcCuBiAu (GGA-PBE)

Data for crystalline AcCuBiAu at its relaxed geometry.

Summary:
* ΔH_f (0 K): -0.40 eV/atom
* magnetization: 0.00 μB/cell

a = 5.2490 Å, b = 5.2490 Å, c = 5.2490 Å
α = 60.00°, β = 60.00°, γ = 60.00°
Fractional coordinates of all 4 atoms:
Ac: 0.0000 0.0000 0.0000
Cu: 0.7500 0.7500 0.7500
Bi: 0.5000 0.5000 0.5000
Au: 0.2500 0.2500 0.2500

---

## Ca2ZnSe (GGA-PBE)

Data for crystalline Ca2ZnSe at its relaxed geometry.

Summary:
* ΔE to the lowest computed polymorph: 0.97 eV/f.u.
* formation energy without anion corrections: -0.6921 eV/atom
* magnetization: 0.00 μB/cell

a = 5.2326 Å, b = 5.2326 Å, c = 5.2326 Å
α = 60.00°, β = 60.00°, γ = 60.00°
Fractional coordinates of all 4 atoms:
Ca: 0.2500 0.2500 0.2500
Ca: 0.7500 0.7500 0.7500
Zn: 0.0000 0.0000 0.0000
Se: 0.5000 0.5000 0.5000

---

## Ac3La3Sm2 (GGA-PBE)

Data for crystalline Ac3La3Sm2 at its relaxed geometry.

Summary:
* ΔE to the lowest computed polymorph: 0.04 eV/f.u.
* ΔH_f (0 K): 0.03 eV/atom
* magnetization: 0.00 μB/cell

a = 11.3805 Å, b = 11.3805 Å, c = 11.3805 Å
α = 152.69°, β = 152.47°, γ = 39.16°
Fractional coordinates of all 8 atoms:
Ac: 0.0000 0.0000 0.0000
Ac: 0.3709 0.8709 0.5000
Ac: 0.6291 0.1291 0.5000
La: 0.1296 0.6296 0.5000
La: 0.5000 0.5000 0.0000
La: 0.8704 0.3704 0.5000
Sm: 0.2497 0.2497 0.0000
Sm: 0.7503 0.7503 0.0000

---

## Nd2TmPb (GGA-PBE)

Data for crystalline Nd2TmPb at its relaxed geometry.

Summary:
* ΔE to the lowest computed polymorph: 1.37 eV/f.u.
* ΔH_f (0 K): 0.04 eV/atom
* magnetization: 0.00 μB/cell

a = 13.6973 Å, b = 13.6973 Å, c = 5.7397 Å
α = 90.00°, β = 90.00°, γ = 165.48°
Fractional coordinates of all 8 atoms:
Nd: 0.0927 0.9073 0.7500
Nd: 0.1842 0.8158 0.2500
Nd: 0.8158 0.1842 0.7500
Nd: 0.9073 0.0927 0.2500
Tm: 0.0289 0.9711 0.2500
Tm: 0.9711 0.0289 0.7500
Pb: 0.3029 0.6971 0.2500
Pb: 0.6971 0.3029 0.7500